K2NdV2O6: optimized geometry, GGA+U.

Values from the calculation:
Energy = -6.811 eV per atom
Space group = R-3m

Cell lengths 6.1884, 6.1884, 7.1659 Å; angles 64.42, 64.42, 60.00 degrees
With the nearest neighbours (Å) after each atom.
Fractional positions:
K 0.7949 0.7949 0.6153  9 O 2.94-3.21
K 0.2051 0.2051 0.3847  9 O 2.94-3.21
Nd 0.0000 0.0000 0.0000  6 O 2.37
V 0.4213 0.4213 0.7361  3 O 1.76
V 0.5787 0.5787 0.2639  3 O 1.76
O 0.7486 0.7486 0.2446  1 V 1.76
O 0.2581 0.7486 0.2446  1 V 1.76
O 0.7486 0.2581 0.2446  1 V 1.76
O 0.2514 0.7419 0.7554  1 V 1.76
O 0.7419 0.2514 0.7554  1 V 1.76
O 0.2514 0.2514 0.7554  1 V 1.76